A plane-wave DFT calculation with PBE-GGA was carried out for an optimized crystal structure of BaReNi2.

Output
Magnetization   1.327 μB/f.u.
Relative energy among the computed polymorphs   0.270 eV per atom
ΔE_f   46.1 kJ per mole of atoms

a b c (Å): 3.163 3.163 7.417
angles (deg): 90.00 90.00 90.00
Space group P4/mmm (No. 123)
Unique sites:
Ba1 0.000 0.000 0.000 [1 per cell]
Re1 0.000 0.000 0.500 [1 per cell]
Ni1 0.500 0.500 0.335 [2 per cell]

=====

A plane-wave DFT calculation with PBE-GGA was carried out for an optimized crystal structure of BaRe2Ni.

Output
Magnetization   0.000 μB/f.u.
Relative energy among the computed polymorphs   0.000 eV per atom
ΔE_f   43.4 kJ per mole of atoms

a b c (Å): 7.460 4.312 6.381
angles (deg): 90.00 113.07 90.00
Space group Cm (No. 8)
Unique sites:
Ba1 0.000 0.000 0.000 [2 per cell]
Re1 0.194 0.000 0.582 [2 per cell]
Re2 0.496 0.000 0.489 [2 per cell]
Ni1 0.316 0.500 0.448 [2 per cell]

=====

A plane-wave DFT calculation with PBE-GGA was carried out for an optimized crystal structure of BaRe2Ni.

Output
Magnetization   0.003 μB/f.u.
Relative energy among the computed polymorphs   0.823 eV per atom
ΔE_f   122.9 kJ per mole of atoms

a b c (Å): 6.640 6.640 6.640
angles (deg): 90.00 90.00 90.00
Space group F-43m (No. 216)
Unique sites:
Ba1 0.000 0.000 0.000 [4 per cell]
Re1 0.000 0.000 0.500 [4 per cell]
Re2 0.250 0.250 0.750 [4 per cell]
Ni1 0.250 0.250 0.250 [4 per cell]

=====

A plane-wave DFT calculation with PBE-GGA was carried out for an optimized crystal structure of BaReNi2.

Output
Magnetization   0.065 μB/f.u.
Relative energy among the computed polymorphs   0.821 eV per atom
ΔE_f   99.3 kJ per mole of atoms

a b c (Å): 2.9617 2.9617 28.2275
angles (deg): 90.00 90.00 120.00
Space group R3m (No. 160, hexagonal axes)
Unique sites:
Ba1 0.0000 0.0000 0.0000 [3 per cell]
Re1 0.0000 0.0000 0.2261 [3 per cell]
Ni1 0.0000 0.0000 0.4939 [3 per cell]
Ni2 0.0000 0.0000 0.7635 [3 per cell]

=====

A plane-wave DFT calculation with PBE-GGA was carried out for an optimized crystal structure of BaRe2Ni.

Output
Magnetization   0.000 μB/f.u.
Relative energy among the computed polymorphs   0.464 eV per atom
ΔE_f   88.2 kJ per mole of atoms

a b c (Å): 11.216 2.857 4.877
angles (deg): 90.00 107.06 90.00
Space group C2/m (No. 12)
Unique sites:
Ba1 0.000 0.000 0.000 [2 per cell]
Re1 0.212 0.000 0.687 [4 per cell]
Ni1 0.000 0.500 0.500 [2 per cell]

=====

A plane-wave DFT calculation with PBE-GGA was carried out for an optimized crystal structure of Ba2ReNi.

Output
Magnetization   2.963 μB/f.u.
Relative energy among the computed polymorphs   0.671 eV per atom
ΔE_f   118.5 kJ per mole of atoms

a b c (Å): 4.592 4.592 10.633
angles (deg): 90.00 90.00 90.00
Space group I-4m2 (No. 119)
Unique sites:
Ba1 0.000 0.000 0.000 [2 per cell]
Ba2 0.000 0.500 0.250 [2 per cell]
Re1 0.000 0.000 0.500 [2 per cell]
Ni1 0.000 0.500 0.750 [2 per cell]

=====

A plane-wave DFT calculation with PBE-GGA was carried out for an optimized crystal structure of BaRe3Ni.

Output
Magnetization   0.000 μB/f.u.
Relative energy among the computed polymorphs   0.000 eV per atom
ΔE_f   177.5 kJ per mole of atoms

a b c (Å): 4.683 4.683 4.683
angles (deg): 90.00 90.00 90.00
Space group Pm-3m (No. 221)
Unique sites:
Ba1 0.000 0.000 0.000 [1 per cell]
Re1 0.000 0.500 0.500 [3 per cell]
Ni1 0.500 0.500 0.500 [1 per cell]

=====

A plane-wave DFT calculation with PBE-GGA was carried out for an optimized crystal structure of BaRe2Ni.

Output
Magnetization   0.000 μB/f.u.
Relative energy among the computed polymorphs   0.388 eV per atom
ΔE_f   80.8 kJ per mole of atoms

a b c (Å): 3.966 4.411 5.685
angles (deg): 90.00 105.72 90.00
Space group P2/m (No. 10)
Unique sites:
Ba1 0.000 0.000 0.000 [1 per cell]
Re1 0.294 0.500 0.621 [2 per cell]
Ni1 0.500 0.000 0.500 [1 per cell]